No. 1
# Ti2NbPtO

A geometry-optimized Ti2NbPtO structure (PBE, Alexandria).

abc: 4.092 4.092 4.254
angles: 90.00 90.00 90.00
Atoms (fractional coordinates):
Ti 0.500 0.000 0.000
Ti 0.000 0.500 0.000
O 0.000 0.000 0.000
Pt 0.500 0.500 0.500
Nb 0.000 0.000 0.500

Computed properties:
Crystal system: tetragonal
Raw formation energy, meV/atom: -1273
Space-group type: P4/mmm, No. 123
Mass density, kg/m3: 9319

---

No. 2
# KInPt

A geometry-optimized KInPt structure (PBE, Alexandria).

abc: 5.228 8.034 8.574
angles: 77.79 89.68 82.48
Atoms (fractional coordinates):
Pt 0.817 0.051 0.863
Pt 0.183 0.449 0.637
Pt 0.817 0.551 0.363
Pt 0.183 0.949 0.137
K 0.764 0.326 0.086
K 0.764 0.826 0.586
K 0.236 0.174 0.414
K 0.236 0.674 0.914
In 0.298 0.646 0.353
In 0.702 0.354 0.647
In 0.702 0.854 0.147
In 0.298 0.146 0.853

Computed properties:
Crystal system: triclinic
Energy of formation from the pure elements, eV/f.u.: -1.03
Space-group type: P-1, No. 2
Mass density, kg/m3: 6645

---

No. 3
# NdTm6Tl4

A geometry-optimized NdTm6Tl4 structure (PBE, Alexandria).

abc: 3.745 9.964 9.964
angles: 120.00 90.00 90.00
Atoms (fractional coordinates):
Tl 0.500 0.835 0.165
Tl 0.500 0.330 0.165
Tl 0.000 0.333 0.667
Tl 0.500 0.835 0.670
Tm 0.000 0.923 0.462
Tm 0.500 0.191 0.383
Tm 0.500 0.617 0.809
Tm 0.000 0.538 0.077
Tm 0.500 0.191 0.809
Tm 0.000 0.538 0.462
Nd 0.000 0.000 0.000

Computed properties:
Crystal system: hexagonal
Energy of formation from the pure elements, eV/f.u.: -2.39
Space-group type: P-6m2, No. 187
Mass density, kg/m3: 10188

---

No. 4
# TmAg2Pd2

A geometry-optimized TmAg2Pd2 structure (PBE, Alexandria).

abc: 4.876 7.709 8.089
angles: 137.84 107.54 90.00
Atoms (fractional coordinates):
Pd 0.204 0.746 0.790
Pd 0.414 0.754 0.210
Pd 0.586 0.246 0.790
Pd 0.796 0.254 0.210
Tm 0.797 0.750 0.000
Tm 0.203 0.250 0.000
Ag 0.394 0.235 0.388
Ag 0.006 0.265 0.612
Ag 0.994 0.735 0.388
Ag 0.606 0.765 0.612

Computed properties:
Crystal system: monoclinic
Energy of formation from the pure elements, eV/f.u.: -2.42
Space-group type: C2/c, No. 15
Mass density, kg/m3: 10883

---

No. 5
# Be2CdF

A geometry-optimized Be2CdF structure (PBE, Alexandria).

abc: 5.031 5.031 5.680
angles: 63.71 63.71 90.00
Atoms (fractional coordinates):
Be 0.508 0.125 0.250
Be 0.875 0.758 0.750
Be 0.242 0.625 0.250
Be 0.375 0.492 0.750
Cd 0.000 0.000 0.000
Cd 0.750 0.250 0.500
F 0.250 0.750 0.500
F 0.500 0.500 0.000

Computed properties:
Crystal system: tetragonal
Raw formation energy, meV/atom: -167
Space-group type: I-42d, No. 122
Mass density, kg/m3: 4429

---

No. 6
# Pr3HoTl3

A geometry-optimized Pr3HoTl3 structure (PBE, Alexandria).

abc: 9.602 9.602 9.602
angles: 90.00 90.00 90.00
Atoms (fractional coordinates):
Tl 0.503 0.244 0.133
Tl 0.367 0.497 0.744
Tl 0.256 0.867 0.003
Tl 0.867 0.003 0.256
Tl 0.003 0.256 0.867
Tl 0.744 0.367 0.497
Tl 0.633 0.997 0.756
Tl 0.756 0.633 0.997
Tl 0.497 0.744 0.367
Tl 0.133 0.503 0.244
Tl 0.244 0.133 0.503
Tl 0.997 0.756 0.633
Pr 0.432 0.568 0.068
Pr 0.828 0.328 0.172
Pr 0.823 0.677 0.323
Pr 0.172 0.828 0.328
Pr 0.672 0.672 0.672
Pr 0.323 0.823 0.677
Pr 0.568 0.068 0.432
Pr 0.932 0.932 0.932
Pr 0.177 0.177 0.177
Pr 0.677 0.323 0.823
Pr 0.068 0.432 0.568
Pr 0.328 0.172 0.828
Ho 0.575 0.925 0.075
Ho 0.925 0.075 0.575
Ho 0.075 0.575 0.925
Ho 0.425 0.425 0.425

Computed properties:
Crystal system: cubic
Energy of formation from the pure elements, eV/f.u.: -1.91
Space-group type: P2_13, No. 198
Mass density, kg/m3: 9008

---

No. 7
# ThBeF

A geometry-optimized ThBeF structure (PBE, Alexandria).

abc: 3.057 3.407 12.169
angles: 90.00 90.00 116.66
Atoms (fractional coordinates):
F 0.975 0.949 0.409
F 0.975 0.949 0.591
Be 0.474 0.948 0.500
Be 0.291 0.583 0.000
Th 0.976 0.952 0.815
Th 0.976 0.952 0.185

Computed properties:
Crystal system: orthorhombic
Raw formation energy, meV/atom: -771
Space-group type: Amm2, No. 38
Mass density, kg/m3: 7626

---

No. 8
# HfMg2TcC

A geometry-optimized HfMg2TcC structure (PBE, Alexandria).

abc: 4.983 3.907 4.983
angles: 90.00 90.00 90.00
Atoms (fractional coordinates):
Mg 0.500 0.000 0.000
Mg 0.000 0.000 0.500
C 0.000 0.500 0.000
Hf 0.500 0.500 0.500
Tc 0.000 0.000 0.000

Computed properties:
Crystal system: tetragonal
Energy of formation from the pure elements, eV/f.u.: 5.24
Space-group type: P4/mmm, No. 123
Mass density, kg/m3: 5770

---

No. 9
# MgCdF3

A geometry-optimized MgCdF3 structure (PBE, Alexandria).

abc: 4.051 4.051 4.051
angles: 90.00 90.00 90.00
Atoms (fractional coordinates):
F 0.500 0.000 0.000
F 0.000 0.500 0.000
F 0.000 0.000 0.500
Mg 0.000 0.000 0.000
Cd 0.500 0.500 0.500

Computed properties:
Crystal system: cubic
Raw formation energy, meV/atom: -2549
Space-group type: Pm-3m, No. 221
Mass density, kg/m3: 4838

---

No. 10
# Sr2BeF6

A geometry-optimized Sr2BeF6 structure (PBE, Alexandria).

abc: 6.295 5.344 7.532
angles: 93.39 90.00 90.00
Atoms (fractional coordinates):
F 0.470 0.596 0.218
F 0.137 0.721 0.540
F 0.863 0.279 0.460
F 0.970 0.904 0.282
F 0.226 0.646 0.944
F 0.274 0.146 0.444
F 0.774 0.354 0.056
F 0.726 0.854 0.556
F 0.637 0.779 0.960
F 0.030 0.096 0.718
F 0.530 0.404 0.782
F 0.363 0.221 0.040
Sr 0.901 0.534 0.757
Sr 0.099 0.466 0.243
Sr 0.401 0.966 0.743
Sr 0.599 0.034 0.257
Be 0.500 0.500 0.000
Be 0.000 0.000 0.500

Computed properties:
Crystal system: monoclinic
Raw formation energy, meV/atom: -3607
Space-group type: P2_1/c, No. 14
Mass density, kg/m3: 3916

---

No. 11
# Ba2NaCaAg

A geometry-optimized Ba2NaCaAg structure (PBE, Alexandria).

abc: 6.530 6.530 5.952
angles: 90.00 90.00 90.00
Atoms (fractional coordinates):
Na 0.500 0.500 0.500
Ca 0.000 0.000 0.500
Ba 0.500 0.000 0.000
Ba 0.000 0.500 0.000
Ag 0.000 0.000 0.000

Computed properties:
Crystal system: tetragonal
Energy of formation from the pure elements, eV/f.u.: -0.27
Space-group type: P4/mmm, No. 123
Mass density, kg/m3: 2915

---

No. 12
# Pr2MnP3Rh4

A geometry-optimized Pr2MnP3Rh4 structure (PBE, Alexandria).

abc: 4.118 4.118 10.048
angles: 90.00 90.00 90.00
Atoms (fractional coordinates):
Rh 0.000 0.000 0.000
Rh 0.500 0.500 0.000
Rh 0.000 0.500 0.367
Rh 0.500 0.000 0.633
Mn 0.500 0.500 0.500
P 0.000 0.000 0.500
P 0.000 0.500 0.135
P 0.500 0.000 0.865
Pr 0.000 0.500 0.748
Pr 0.500 0.000 0.252

Computed properties:
Crystal system: tetragonal
Energy of formation from the pure elements, eV/f.u.: -9.41
Space-group type: P-4m2, No. 115
Mass density, kg/m3: 8197

---

The records above yield total energy values of -8.64, -3.64, -3.95, -4.60, -2.73, -3.99, -5.11, -5.50, -4.17, -5.64, -2.06, -7.38 eV per atom, respectively.